Entry 1:
The following is a DFT calculation (GGA-PBE) of a geometry-optimized LaErInAg structure.

Geometry as extended XYZ:
```
4
Lattice="-2.1495 -2.9874 -0.0514 2.9144 -2.0824 -0.8470 1.4249 -1.1587 7.7512" Properties=species:S:1:pos:R:3 pbc="T T T"
In 0.5652 -2.6835 0.5452
La 1.2120 -0.9856 6.5930
Er 0.5348 -0.4349 2.9093
Ag 1.1999 -3.1997 3.9980
```

The total magnetization comes out at 0.0 μB per formula unit. As for the space group: P4mm, No. 99. For the formation enthalpy at 0 K, the calculation gives -0.401 eV/atom. As for the crystal system: tetragonal.

---

Entry 2:
The following is a DFT calculation (GGA-PBE) of a geometry-optimized TaOsSe4 structure.

Geometry as extended XYZ:
```
6
Lattice="-1.6879 1.8976 -2.3293 -3.5282 -6.4246 -0.1206 -2.8490 2.8313 4.3707" Properties=species:S:1:pos:R:3 pbc="T T T"
Os -2.1785 2.1711 0.7980
Ta -5.3303 -4.3028 -2.1844
Se -3.5050 -3.7165 -0.4802
Se -2.2878 -0.2885 1.4226
Se -4.2073 2.3127 2.3834
Se -6.1054 -1.7299 0.4730
```

The total magnetization comes out at 0.7 μB per formula unit. As for the space group: Cm, No. 8. As for the crystal system: monoclinic. The value obtained for the raw formation energy is -0.526 eV per atom.

---

Entry 3:
The following is a DFT calculation (GGA-PBE) of a geometry-optimized InMoSCl2 structure.

Geometry as extended XYZ:
```
5
Lattice="5.0676 0.0000 0.0000 0.0000 5.0676 0.0000 0.0000 0.0000 4.6697" Properties=species:S:1:pos:R:3 pbc="T T T"
Mo 0.0000 0.0000 0.0000
Cl 0.0000 2.5338 0.0000
Cl 2.5338 0.0000 0.0000
S 0.0000 0.0000 2.3349
In 2.5338 2.5338 2.3349
```

The total magnetization comes out at 1.6 μB per formula unit. As for the space group: P4/mmm, No. 123. As for the crystal system: tetragonal. The value obtained for the raw formation energy is -0.393 eV per atom.

---

Entry 4:
The following is a DFT calculation (GGA-PBE) of a geometry-optimized SrTaBe3 structure.

Geometry as extended XYZ:
```
5
Lattice="4.4400 0.0000 0.0000 0.0000 4.4400 0.0000 0.0000 0.0000 4.4400" Properties=species:S:1:pos:R:3 pbc="T T T"
Ta 2.2200 2.2200 2.2200
Be 0.0000 0.0000 2.2200
Be 2.2200 0.0000 0.0000
Be 0.0000 2.2200 0.0000
Sr 0.0000 0.0000 0.0000
```

The total magnetization comes out at 0.0 μB per formula unit. As for the space group: Pm-3m, No. 221. For the formation enthalpy at 0 K, the calculation gives 2.396 eV/atom. As for the crystal system: cubic.

---

Entry 5:
The following is a DFT calculation (GGA-PBE) of a geometry-optimized Tb2PbS4 structure.

Geometry as extended XYZ:
```
28
Lattice="4.0061 0.0000 0.0000 0.0000 12.3317 0.0000 0.0000 0.0000 14.3277" Properties=species:S:1:pos:R:3 pbc="T T T"
Tb 3.0046 0.7870 12.6788
Tb 1.0015 5.3789 5.5149
Tb 1.0015 11.5448 1.6489
Tb 3.0046 1.0724 5.8022
Tb 3.0046 6.9528 8.8128
Tb 3.0046 7.2382 1.3617
Tb 1.0015 5.0935 12.9660
Tb 1.0015 11.2594 8.5256
S 3.0046 1.0689 1.0680
S 3.0046 9.8271 2.4680
S 3.0046 7.2348 6.0958
S 1.0015 11.2628 13.2597
S 3.0046 4.6253 0.4778
S 1.0015 0.5333 4.0296
S 1.0015 5.0970 8.2319
S 3.0046 3.6612 4.6959
S 3.0046 10.7912 6.6860
S 3.0046 5.6326 11.1935
S 1.0015 1.5406 7.6417
S 3.0046 11.7985 10.2981
S 1.0015 8.6705 9.6319
S 1.0015 6.6991 3.1343
S 1.0015 7.7064 13.8499
S 1.0015 2.5047 11.8597
Pb 1.0015 9.1329 4.7577
Pb 3.0046 9.3647 11.9216
Pb 3.0046 3.1988 9.5700
Pb 1.0015 2.9670 2.4062
```

The total magnetization comes out at 0.0 μB per formula unit. As for the space group: Pnma, No. 62. As for the crystal system: orthorhombic. The value obtained for the raw formation energy is -1.631 eV per atom.

---

Entry 6:
The following is a DFT calculation (GGA-PBE) of a geometry-optimized HfS2I structure.

Geometry as extended XYZ:
```
8
Lattice="7.3259 0.0000 0.0000 0.0000 7.3259 0.0000 3.6630 3.6630 5.2607" Properties=species:S:1:pos:R:3 pbc="T T T"
S 5.4945 4.4507 3.9455
S 6.5382 1.8315 1.3152
S 8.1137 5.4945 1.3152
S 9.1574 2.8752 3.9455
Hf 0.0000 0.0000 0.0000
Hf 7.3259 3.6630 2.6303
I 3.6630 3.6630 0.0000
I 3.6630 7.3259 2.6303
```

The total magnetization comes out at 1.0 μB per formula unit. As for the space group: I-42d, No. 122. As for the crystal system: tetragonal. The value obtained for the raw formation energy is -0.641 eV per atom.

---

Entry 7:
The following is a DFT calculation (GGA-PBE) of a geometry-optimized SbAsP2 structure.

Geometry as extended XYZ:
```
4
Lattice="0.0000 3.3471 3.3471 3.3471 0.0000 3.3471 3.3471 3.3471 0.0000" Properties=species:S:1:pos:R:3 pbc="T T T"
P 5.0207 5.0207 5.0207
P 1.6736 1.6736 1.6736
As 0.0000 0.0000 0.0000
Sb 3.3471 3.3471 3.3471
```

The total magnetization comes out at 0.0 μB per formula unit. As for the space group: Fm-3m, No. 225. As for the crystal system: cubic. The value obtained for the raw formation energy is 0.585 eV per atom.

---

Entry 8:
The following is a DFT calculation (GGA-PBE) of a geometry-optimized KPW2 structure.

Geometry as extended XYZ:
```
4
Lattice="3.2744 0.0000 0.0000 0.0000 4.5386 0.0000 0.0000 0.0000 4.9150" Properties=species:S:1:pos:R:3 pbc="T T T"
K 1.6372 0.0000 2.4575
W 1.6372 2.2693 0.0000
W 0.0000 0.0000 0.0000
P 0.0000 2.2693 2.4575
```

The total magnetization comes out at 0.0 μB per formula unit. As for the space group: Pmmm, No. 47. For the formation enthalpy at 0 K, the calculation gives 1.544 eV/atom. As for the crystal system: orthorhombic.

---

Entry 9:
The following is a DFT calculation (GGA-PBE) of a geometry-optimized RbCdGe structure.

Geometry as extended XYZ:
```
3
Lattice="5.6706 0.0000 0.0000 0.0000 4.6435 0.0000 0.0000 -2.3217 4.0214" Properties=species:S:1:pos:R:3 pbc="T T T"
Rb 3.7800 0.0000 2.6809
Ge 0.9455 2.3217 1.3405
Cd 0.9452 0.0000 0.0000
```

The total magnetization comes out at 0.4 μB per formula unit. As for the space group: P-6m2, No. 187. For the formation enthalpy at 0 K, the calculation gives 0.004 eV/atom. As for the crystal system: hexagonal.

---

Entry 10:
The following is a DFT calculation (GGA-PBE) of a geometry-optimized CrCu2Ni12 structure.

Geometry as extended XYZ:
```
30
Lattice="4.6447 0.0000 0.0000 0.0000 4.6447 0.0000 0.0000 0.0000 17.0905" Properties=species:S:1:pos:R:3 pbc="T T T"
Ni 1.5000 0.8224 9.6062
Ni 0.8224 1.5000 7.4843
Ni 1.5000 3.8224 7.4843
Ni 0.9934 1.3290 1.8315
Ni 1.3290 0.9934 15.2590
Ni 0.9934 3.3158 15.2590
Ni 1.3290 3.6514 1.8315
Ni 2.3224 2.3224 3.5622
Ni 3.6514 1.3290 15.2590
Ni 0.0000 0.0000 5.8268
Ni 3.1447 3.8224 9.6062
Ni 3.1447 0.8224 7.4843
Ni 0.0000 0.0000 3.5622
Ni 2.3224 2.3224 13.5282
Ni 0.0000 0.0000 11.2637
Ni 2.3224 2.3224 11.2637
Ni 3.6514 3.3158 1.8315
Ni 3.3158 3.6514 15.2590
Ni 3.8224 3.1447 7.4843
Ni 0.8224 3.1447 9.6062
Ni 2.3224 2.3224 5.8268
Ni 3.3158 0.9934 1.8315
Ni 3.8224 1.5000 9.6062
Ni 0.0000 0.0000 13.5282
Cu 2.3224 0.0000 4.7175
Cu 0.0000 2.3224 12.3730
Cu 2.3224 0.0000 12.3730
Cu 0.0000 2.3224 4.7175
Cr 2.3224 0.0000 0.0000
Cr 0.0000 2.3224 0.0000
```

The total magnetization comes out at 3.4 μB per formula unit. As for the space group: P4/nbm, No. 125. For the formation enthalpy at 0 K, the calculation gives 0.351 eV/atom. As for the crystal system: tetragonal.

---

Entry 11:
The following is a DFT calculation (GGA-PBE) of a geometry-optimized CsLiCo2Cl8 structure.

Geometry as extended XYZ:
```
12
Lattice="6.4945 0.0000 0.0000 3.2473 5.6244 0.0000 3.2472 1.8748 9.5064" Properties=species:S:1:pos:R:3 pbc="T T T"
Cl 8.7714 3.7190 1.5504
Cl 5.3825 5.7367 1.5504
Cl 7.6594 5.7061 7.9560
Cl 9.7417 5.6244 5.1183
Cl 5.3296 1.7930 1.5504
Cl 3.2472 1.8748 4.3881
Cl 4.2176 3.7802 7.9560
Cl 7.6064 1.7624 7.9560
Co 9.7417 5.6244 7.3054
Co 3.2472 1.8748 2.2010
Cs 6.4945 3.7496 4.7532
Li 0.0000 0.0000 0.0000
```

The total magnetization comes out at 8.0 μB per formula unit. As for the space group: R-3, No. 148. As for the crystal system: trigonal. The value obtained for the raw formation energy is -0.991 eV per atom.

---

Entry 12:
The following is a DFT calculation (GGA-PBE) of a geometry-optimized Tm2Mg2Sc3 structure.

Geometry as extended XYZ:
```
7
Lattice="5.0061 0.0000 0.6644 0.0000 3.2464 0.0000 1.0553 0.0000 11.2414" Properties=species:S:1:pos:R:3 pbc="T T T"
Sc 0.0000 0.0000 0.0000
Sc 4.5788 0.0000 3.8842
Sc 1.4826 0.0000 8.0215
Mg 2.3043 1.6232 1.8295
Mg 3.7570 1.6232 10.0762
Tm 4.1708 1.6232 6.9586
Tm 1.8906 1.6232 4.9471
```

The total magnetization comes out at 0.0 μB per formula unit. As for the space group: Cmmm, No. 65. For the formation enthalpy at 0 K, the calculation gives 0.069 eV/atom. As for the crystal system: orthorhombic.